# 1
# CaCr, optimized geometry, DFT PBE-GGA
# calculated total energy: -4.914 eV per atom
# calculated formation energy: 0.90 eV/atom
# density of states at the Fermi level: 6.081 states/eV/cell
# total magnetic moment: 2.15 μB per atom
data_CaCr
_chemical_formula_sum 'Ca3 Cr3'
_space_group_name_H-M_alt 'R -3 m'
_space_group_IT_number 166
_space_group_name_Hall '-R 3 2"'
_cell_length_a 3.5171
_cell_length_b 3.5171
_cell_length_c 15.3012
_cell_angle_alpha 90.00
_cell_angle_beta 90.00
_cell_angle_gamma 120.00
loop_
_atom_site_label
_atom_site_type_symbol
_atom_site_fract_x
_atom_site_fract_y
_atom_site_fract_z
Ca1 Ca 0.0000 0.0000 0.0000
Cr1 Cr 0.0000 0.0000 0.5000

# 2
# CaCr, optimized geometry, DFT PBE-GGA
# calculated total energy: -4.745 eV per atom
# calculated formation energy: 1.07 eV/atom
# density of states at the Fermi level: 15.315 states/eV/cell
# total magnetic moment: 0.00 μB per atom
data_CaCr
_chemical_formula_sum 'Ca6 Cr6'
_space_group_name_H-M_alt 'P 63/m'
_space_group_IT_number 176
_space_group_name_Hall '-P 6c'
_cell_length_a 11.6103
_cell_length_b 11.6103
_cell_length_c 3.0605
_cell_angle_alpha 90.00
_cell_angle_beta 90.00
_cell_angle_gamma 120.00
loop_
_atom_site_label
_atom_site_type_symbol
_atom_site_fract_x
_atom_site_fract_y
_atom_site_fract_z
Ca1 Ca 0.1275 0.7739 0.2500
Cr1 Cr 0.0569 0.4894 0.2500

# 3
# CaCr, optimized geometry, DFT PBE-GGA
# calculated total energy: -5.189 eV per atom
# calculated formation energy: 0.62 eV/atom
# density of states at the Fermi level: 11.413 states/eV/cell
# total magnetic moment: 0.07 μB per atom
data_CaCr
_chemical_formula_sum 'Ca6 Cr6'
_space_group_name_H-M_alt 'C 1 m 1'
_space_group_IT_number 8
_cell_length_a 12.6501
_cell_length_b 3.6300
_cell_length_c 7.1663
_cell_angle_alpha 90.00
_cell_angle_beta 113.31
_cell_angle_gamma 90.00
loop_
_space_group_symop_operation_xyz
'x,y,z'
'x,-y,z'
'x+1/2,y+1/2,z'
'x+1/2,-y+1/2,z'
loop_
_atom_site_label
_atom_site_type_symbol
_atom_site_fract_x
_atom_site_fract_y
_atom_site_fract_z
Ca1 Ca 0.0000 0.0000 0.0000
Ca2 Ca 0.0211 0.0000 0.5343
Ca3 Ca 0.2331 0.5000 0.4067
Cr1 Cr 0.2157 0.5000 0.9153
Cr2 Cr 0.2865 0.0000 0.7986
Cr3 Cr 0.3267 0.0000 0.1193

# 4
# CaCr, optimized geometry, DFT PBE-GGA
# calculated total energy: -5.089 eV per atom
# calculated formation energy: 0.72 eV/atom
# density of states at the Fermi level: 9.797 states/eV/cell
# total magnetic moment: 0.00 μB per atom
data_CaCr
_chemical_formula_sum 'Ca4 Cr4'
_space_group_name_H-M_alt 'C m m m'
_space_group_IT_number 65
_space_group_name_Hall '-C 2 2'
_cell_length_a 6.5980
_cell_length_b 8.7571
_cell_length_c 3.3133
_cell_angle_alpha 90.00
_cell_angle_beta 90.00
_cell_angle_gamma 90.00
loop_
_atom_site_label
_atom_site_type_symbol
_atom_site_fract_x
_atom_site_fract_y
_atom_site_fract_z
Ca1 Ca 0.0000 0.2037 0.0000
Cr1 Cr 0.1349 0.5000 0.5000